The following is a DFT calculation (meta-GGA SCAN) of a crystal of KRuW2 relaxed with PBEsol.

Cell: 2.762 2.762 9.920 Å, 90.00 90.00 90.00°
Positions (direct):
K 0.000 0.000 0.000
Ru 0.000 0.000 0.500
W 0.500 0.500 0.315
W 0.500 0.500 0.685

**Formation enthalpy at 0 K**: 0.943 eV/atom
**Spin magnetization**: 0.00 Bohr magnetons per cell
**Excess energy over the best structure of this formula in the dataset**: 64 meV/atom